Entry 1:
12
Lattice="-2.377 -5.124 1.778 6.211 -5.280 2.946 -5.730 1.871 7.595" Properties=species:S:1:pos:R:3 comment="Tb4Sm5Y3 (PBE, relaxed)" crystal_system=monoclinic e_above_lowest_polymorph_kj_per_mol_atoms=21.0 e_tot_ev_per_fu=-58.72 pbc="T T T"
Tb -1.004 -5.467 2.625
Tb -3.621 0.050 5.166
Tb 1.726 -8.584 7.152
Tb -0.892 -3.066 9.694
Sm -0.170 -6.724 9.979
Sm -0.948 -4.267 6.159
Sm 1.700 -3.311 2.592
Sm -3.595 -5.223 9.727
Sm -1.725 -1.810 2.340
Y 1.486 -5.792 5.017
Y 0.241 -1.705 5.270
Y -3.381 -2.742 7.301

=====

Entry 2:
10
Lattice="-4.870 -1.758 3.513 -6.616 -2.180 -6.543 2.296 -5.284 2.406" Properties=species:S:1:pos:R:3 comment="TbSm7Y2 (PBE, relaxed)" crystal_system=triclinic e_above_lowest_polymorph_kj_per_mol_atoms=0.0 e_tot_ev_per_fu=-50.44 pbc="T T T"
Tb 0.000 0.000 0.000
Sm -9.245 -5.620 -0.765
Sm 0.056 -3.603 0.140
Sm -2.136 -5.538 -2.000
Sm -7.053 -3.684 1.375
Sm -7.931 -3.892 -3.650
Sm -1.259 -5.330 3.025
Sm -5.743 -1.969 -1.515
Y -5.689 -5.576 -1.384
Y -3.501 -3.646 0.759

=====

Entry 3:
10
Lattice="-3.001 -0.165 -4.106 -0.043 -7.217 0.321 -5.784 -1.428 7.439" Properties=species:S:1:pos:R:3 comment="TbSm3Y (PBE, relaxed)" crystal_system=monoclinic e_above_lowest_polymorph_kj_per_mol_atoms=0.0 e_tot_ev_per_fu=-25.18 pbc="T T T"
Tb -5.906 -7.123 1.450
Tb -2.922 -1.687 2.204
Sm -8.811 -7.012 3.569
Sm -0.018 -1.797 0.085
Sm -5.818 -1.568 4.316
Sm -3.011 -7.242 -0.662
Sm -2.944 -5.300 2.365
Sm -5.885 -3.510 1.290
Y -2.980 -3.636 -0.829
Y -5.849 -5.174 4.483

=====

Taking the records one at a time from the top gives formation energy from the elements values of 2.79, 0.15, 0.07 eV per formula unit.
Taking the records one at a time from the top gives DOS at the Fermi energy values of 20.30, 14.12, 13.88 states/eV per cell.